DFT (PBE) results for a relaxed Rb2PuAgCl5 crystal.

a b c (Å): 5.026 5.026 12.135
angles (deg): 90.00 90.00 90.00
Space group P4/mmm (No. 123)
Symmetry-distinct sites (fractional):
Rb: 0.000 0.000 0.186 x2
Pu: 0.500 0.500 0.500 x1
Ag: 0.500 0.500 0.000 x1
Cl: 0.000 0.000 0.500 x1
Cl: 0.000 0.500 0.000 x2
Cl: 0.500 0.500 0.278 x2

Summary:
- DFT total energy: -40.833 eV for the cell shown
- Magnetization: 6.005 μB/f.u.
- Volume: 306.6 Å³/cell
- Raw formation energy: -1204 kJ/mol of formula units